Record 1
LaMn2Rh at its PBEsol-relaxed geometry, computed with SCAN.

space-group type	No. 166
spin magnetization	0.001	μB per formula unit

a = 5.5236 Å, b = 5.5236 Å, c = 5.5236 Å
α = 43.89°, β = 43.89°, γ = 43.89°
Atoms (fractional coordinates):
La: 0.0000 0.0000 0.0000
Mn: 0.1857 0.1857 0.1857
Mn: 0.8143 0.8143 0.8143
Rh: 0.5000 0.5000 0.5000

***

Record 2
LaMn2Rh at its PBEsol-relaxed geometry, computed with SCAN.

space-group type	No. 216
spin magnetization	7.884	μB per formula unit

a = 4.6177 Å, b = 4.6177 Å, c = 4.6177 Å
α = 60.00°, β = 60.00°, γ = 60.00°
Atoms (fractional coordinates):
La: 0.0000 0.0000 0.0000
Mn: 0.2500 0.2500 0.2500
Mn: 0.5000 0.5000 0.5000
Rh: 0.7500 0.7500 0.7500

***

Record 3
La2MnRu at its PBEsol-relaxed geometry, computed with SCAN.

space-group type	No. 44
spin magnetization	2.948	μB per formula unit

a = 5.5492 Å, b = 5.5492 Å, c = 5.5492 Å
α = 139.08°, β = 126.62°, γ = 69.38°
Atoms (fractional coordinates):
La: 0.0000 0.0000 0.0000
La: 0.6953 0.1953 0.5000
Mn: 0.2846 0.7846 0.5000
Ru: 0.3997 0.3997 0.0000

***

Record 4
La3MnRu at its PBEsol-relaxed geometry, computed with SCAN.

space-group type	No. 221
spin magnetization	0.000	μB per formula unit

a = 4.9746 Å, b = 4.9746 Å, c = 4.9746 Å
α = 90.00°, β = 90.00°, γ = 90.00°
Atoms (fractional coordinates):
La: 0.0000 0.0000 0.5000
La: 0.0000 0.5000 0.0000
La: 0.5000 0.0000 0.0000
Mn: 0.0000 0.0000 0.0000
Ru: 0.5000 0.5000 0.5000

***

no.,V (Å³/atom),ΔE_f (eV/atom)
1,18.39,0.1604
2,17.41,-0.0943
3,22.06,0.0423
4,24.62,0.5199